Record 1
Here is crystalline SbPd2 at its relaxed geometry from the Alexandria database. Energies are from PBE.

Lattice parameters (Å, degrees): 3.570 3.570 8.342 90.00 90.00 90.00
Positions (direct):
Sb 0.000 0.000 0.000
Sb 0.500 0.500 0.500
Pd 0.000 0.000 0.331
Pd 0.000 0.000 0.669
Pd 0.500 0.500 0.169
Pd 0.500 0.500 0.831

## Properties
Formation energy from raw total energies, meV/atom: -387.4
Crystal system: tetragonal
Symmetry: I4/mmm, No. 139


Record 2
Here is crystalline Tl2InCl2 at its relaxed geometry from the Alexandria database. Energies are from PBE.

Lattice parameters (Å, degrees): 5.021 5.021 13.593 90.00 90.00 90.00
Positions (direct):
Tl 0.000 0.000 0.126
Tl 0.000 0.000 0.874
Tl 0.500 0.500 0.374
Tl 0.500 0.500 0.626
In 0.000 0.000 0.500
In 0.500 0.500 0.000
Cl 0.000 0.500 0.250
Cl 0.000 0.500 0.750
Cl 0.500 0.000 0.250
Cl 0.500 0.000 0.750

## Properties
Formation energy from raw total energies, meV/atom: -485.5
Crystal system: tetragonal
Symmetry: I4/mmm, No. 139
Offset from the most stable computed form, meV per atom: 137.5


Record 3
Here is crystalline MgTiAl2Pd2 at its relaxed geometry from the Alexandria database. Energies are from PBE.

Lattice parameters (Å, degrees): 4.400 4.400 5.780 90.00 90.00 120.00
Positions (direct):
Mg 0.000 0.000 0.000
Ti 0.000 0.000 0.500
Al 0.333 0.667 0.268
Al 0.667 0.333 0.732
Pd 0.333 0.667 0.746
Pd 0.667 0.333 0.254

## Properties
Crystal system: trigonal
Symmetry: P-3m1, No. 164
Formation energy from the elements, eV/atom: -0.611


Record 4
Here is crystalline La3Ge3Br2 at its relaxed geometry from the Alexandria database. Energies are from PBE.

Lattice parameters (Å, degrees): 9.649 9.649 10.978 97.86 97.86 26.08
Positions (direct):
La 0.030 0.030 0.331
La 0.112 0.112 0.989
La 0.178 0.178 0.647
La 0.822 0.822 0.353
La 0.888 0.888 0.011
La 0.970 0.970 0.669
Ge 0.407 0.407 0.219
Ge 0.432 0.432 0.455
Ge 0.476 0.476 0.883
Ge 0.524 0.524 0.117
Ge 0.568 0.568 0.545
Ge 0.593 0.593 0.781
Br 0.200 0.200 0.371
Br 0.276 0.276 0.891
Br 0.724 0.724 0.109
Br 0.800 0.800 0.629

## Properties
Formation energy from raw total energies, meV/atom: -1248.1
Crystal system: monoclinic
Symmetry: C2/m, No. 12


Record 5
Here is crystalline Tc3Pb at its relaxed geometry from the Alexandria database. Energies are from PBE.

Lattice parameters (Å, degrees): 8.922 8.922 2.928 90.00 90.00 120.00
Positions (direct):
Tc 0.000 0.500 0.000
Tc 0.167 0.333 0.333
Tc 0.167 0.833 0.333
Tc 0.333 0.167 0.667
Tc 0.500 0.000 0.000
Tc 0.500 0.500 0.000
Tc 0.667 0.833 0.333
Tc 0.833 0.167 0.667
Tc 0.833 0.667 0.667
Pb 0.000 0.000 0.000
Pb 0.333 0.667 0.667
Pb 0.667 0.333 0.333

## Properties
Crystal system: trigonal
Symmetry: R-3m, No. 166
Formation energy from the elements, eV/atom: 0.771
Offset from the most stable computed form, meV per atom: 290.0


Record 6
Here is crystalline La2ZnSbOs at its relaxed geometry from the Alexandria database. Energies are from PBE.

Lattice parameters (Å, degrees): 5.955 5.955 4.728 90.00 90.00 90.00
Positions (direct):
La 0.000 0.500 0.000
La 0.500 0.000 0.000
Zn 0.000 0.000 0.500
Sb 0.000 0.000 0.000
Os 0.500 0.500 0.500

## Properties
Formation energy from raw total energies, meV/atom: 863.0
Crystal system: tetragonal
Symmetry: P4/mmm, No. 123
Offset from the most stable computed form, meV per atom: 996.9


Record 7
Here is crystalline K3CuTe2 at its relaxed geometry from the Alexandria database. Energies are from PBE.

Lattice parameters (Å, degrees): 9.256 9.256 9.256 129.49 82.97 119.11
Positions (direct):
K 0.032 0.750 0.282
K 0.250 0.250 0.000
K 0.468 0.750 0.718
K 0.532 0.250 0.282
K 0.750 0.750 0.000
K 0.968 0.250 0.718
Cu 0.000 0.500 0.500
Cu 0.500 0.000 0.500
Te 0.114 0.746 0.859
Te 0.386 0.246 0.632
Te 0.614 0.754 0.368
Te 0.886 0.254 0.141

## Properties
Formation energy from raw total energies, meV/atom: -728.1
Crystal system: orthorhombic
Symmetry: Ibam, No. 72


Record 8
Here is crystalline CsLiHgCl4 at its relaxed geometry from the Alexandria database. Energies are from PBE.

Lattice parameters (Å, degrees): 6.846 7.199 9.234 90.00 102.21 90.00
Positions (direct):
Cs 0.227 0.250 0.044
Cs 0.773 0.750 0.956
Li 0.107 0.250 0.496
Li 0.893 0.750 0.504
Hg 0.277 0.750 0.336
Hg 0.723 0.250 0.664
Cl 0.017 0.007 0.689
Cl 0.017 0.493 0.689
Cl 0.318 0.750 0.071
Cl 0.446 0.250 0.448
Cl 0.554 0.750 0.552
Cl 0.682 0.250 0.929
Cl 0.983 0.507 0.311
Cl 0.983 0.993 0.311

## Properties
Formation energy from raw total energies, meV/atom: -1338.1
Crystal system: monoclinic
Symmetry: P2_1/m, No. 11


Record 9
Here is crystalline La2BeCuC at its relaxed geometry from the Alexandria database. Energies are from PBE.

Lattice parameters (Å, degrees): 5.363 5.363 3.449 90.00 90.00 90.00
Positions (direct):
La 0.000 0.500 0.000
La 0.500 0.000 0.000
Be 0.000 0.000 0.500
Cu 0.500 0.500 0.500
C 0.000 0.000 0.000

## Properties
Crystal system: tetragonal
Symmetry: P4/mmm, No. 123
Formation energy from the elements, eV/atom: -0.084
Offset from the most stable computed form, meV per atom: 0.0


Record 10
Here is crystalline TmSi3NiOs at its relaxed geometry from the Alexandria database. Energies are from PBE.

Lattice parameters (Å, degrees): 6.165 6.165 6.376 90.00 90.00 125.45
Positions (direct):
Tm 0.214 0.786 0.750
Tm 0.786 0.214 0.250
Si 0.223 0.223 0.000
Si 0.223 0.223 0.500
Si 0.334 0.666 0.250
Si 0.666 0.334 0.750
Si 0.777 0.777 0.000
Si 0.777 0.777 0.500
Ni 0.458 0.542 0.750
Ni 0.542 0.458 0.250
Os 0.118 0.882 0.250
Os 0.882 0.118 0.750

## Properties
Formation energy from raw total energies, meV/atom: -350.9
Crystal system: orthorhombic
Symmetry: Cmcm, No. 63


Record 11
Here is crystalline PrEr2H8 at its relaxed geometry from the Alexandria database. Energies are from PBE.

Lattice parameters (Å, degrees): 6.370 6.370 6.370 146.56 131.26 60.40
Positions (direct):
Pr 0.000 0.000 0.000
Er 0.329 0.329 0.000
Er 0.671 0.671 0.000
H 0.102 0.833 0.269
H 0.158 0.658 0.500
H 0.291 0.500 0.791
H 0.437 0.167 0.269
H 0.563 0.833 0.731
H 0.709 0.500 0.209
H 0.842 0.342 0.500
H 0.898 0.167 0.731

## Properties
Crystal system: orthorhombic
Symmetry: Immm, No. 71
E, eV per atom: -4.30


Record 12
Here is crystalline Ac2Ag15Hg2 at its relaxed geometry from the Alexandria database. Energies are from PBE.

Lattice parameters (Å, degrees): 7.452 7.452 7.452 83.15 83.15 83.15
Positions (direct):
Ac 0.154 0.154 0.154
Ac 0.846 0.846 0.846
Ag 0.000 0.500 0.500
Ag 0.151 0.151 0.660
Ag 0.151 0.660 0.151
Ag 0.196 0.500 0.804
Ag 0.196 0.804 0.500
Ag 0.340 0.849 0.849
Ag 0.500 0.000 0.500
Ag 0.500 0.196 0.804
Ag 0.500 0.500 0.000
Ag 0.500 0.804 0.196
Ag 0.660 0.151 0.151
Ag 0.804 0.196 0.500
Ag 0.804 0.500 0.196
Ag 0.849 0.340 0.849
Ag 0.849 0.849 0.340
Hg 0.396 0.396 0.396
Hg 0.604 0.604 0.604

## Properties
Crystal system: trigonal
Symmetry: R-3m, No. 166
Formation energy from the elements, eV/atom: -0.112


Record 13
Here is crystalline LiGeB at its relaxed geometry from the Alexandria database. Energies are from PBE.

Lattice parameters (Å, degrees): 5.024 3.598 5.040 90.00 106.14 90.00
Positions (direct):
Li 0.220 0.000 0.279
Li 0.780 0.000 0.721
Ge 0.203 0.500 0.702
Ge 0.797 0.500 0.298
B 0.363 0.000 0.863
B 0.637 0.000 0.137

## Properties
Crystal system: monoclinic
Symmetry: P2/m, No. 10
Formation energy from the elements, eV/atom: -0.024


Record 14
Here is crystalline Cs3Cu2PbI9 at its relaxed geometry from the Alexandria database. Energies are from PBE.

Lattice parameters (Å, degrees): 8.308 8.308 10.253 90.00 90.00 120.00
Positions (direct):
Cs 0.000 0.000 0.000
Cs 0.333 0.667 0.670
Cs 0.667 0.333 0.330
Cu 0.333 0.667 0.151
Cu 0.667 0.333 0.849
Pb 0.000 0.000 0.500
I 0.000 0.500 0.000
I 0.176 0.351 0.317
I 0.176 0.824 0.317
I 0.351 0.176 0.683
I 0.500 0.000 0.000
I 0.500 0.500 0.000
I 0.649 0.824 0.317
I 0.824 0.176 0.683
I 0.824 0.649 0.683

## Properties
Formation energy from raw total energies, meV/atom: -738.4
Crystal system: trigonal
Symmetry: P-3m1, No. 164


Record 15
Here is crystalline Mg2Te at its relaxed geometry from the Alexandria database. Energies are from PBE.

Lattice parameters (Å, degrees): 6.029 4.010 12.789 90.00 90.00 90.00
Positions (direct):
Mg 0.007 0.250 0.249
Mg 0.248 0.250 0.921
Mg 0.252 0.750 0.421
Mg 0.493 0.750 0.749
Mg 0.507 0.250 0.251
Mg 0.748 0.250 0.579
Mg 0.752 0.750 0.079
Mg 0.993 0.750 0.751
Te 0.248 0.250 0.594
Te 0.252 0.750 0.094
Te 0.748 0.250 0.906
Te 0.752 0.750 0.406

## Properties
Formation energy from raw total energies, meV/atom: -373.2
Crystal system: orthorhombic
Symmetry: Pnma, No. 62


Record 16
Here is crystalline La4PrTl2 at its relaxed geometry from the Alexandria database. Energies are from PBE.

Lattice parameters (Å, degrees): 9.941 9.941 9.941 33.20 33.20 33.20
Positions (direct):
La 0.128 0.128 0.128
La 0.273 0.273 0.273
La 0.727 0.727 0.727
La 0.872 0.872 0.872
Pr 0.500 0.500 0.500
Tl 0.388 0.388 0.388
Tl 0.612 0.612 0.612

## Properties
Crystal system: trigonal
Symmetry: R-3m, No. 166
Formation energy from the elements, eV/atom: -0.007
Offset from the most stable computed form, meV per atom: 0.0


Record 17
Here is crystalline CdRe2Pb at its relaxed geometry from the Alexandria database. Energies are from PBE.

Lattice parameters (Å, degrees): 6.615 6.615 6.615 90.00 90.00 90.00
Positions (direct):
Cd 0.000 0.000 0.000
Cd 0.000 0.500 0.500
Cd 0.500 0.000 0.500
Cd 0.500 0.500 0.000
Re 0.250 0.250 0.250
Re 0.250 0.250 0.750
Re 0.250 0.750 0.250
Re 0.250 0.750 0.750
Re 0.750 0.250 0.250
Re 0.750 0.250 0.750
Re 0.750 0.750 0.250
Re 0.750 0.750 0.750
Pb 0.000 0.000 0.500
Pb 0.000 0.500 0.000
Pb 0.500 0.000 0.000
Pb 0.500 0.500 0.500

## Properties
Crystal system: cubic
Symmetry: Fm-3m, No. 225
Formation energy from the elements, eV/atom: 1.244
Offset from the most stable computed form, meV per atom: 906.3


Record 18
Here is crystalline CuSi2TcF at its relaxed geometry from the Alexandria database. Energies are from PBE.

Lattice parameters (Å, degrees): 4.624 4.624 3.505 90.00 90.00 90.00
Positions (direct):
Cu 0.000 0.000 0.000
Si 0.000 0.500 0.000
Si 0.500 0.000 0.000
Tc 0.500 0.500 0.500
F 0.000 0.000 0.500

## Properties
Formation energy from raw total energies, meV/atom: 497.0
Crystal system: tetragonal
Symmetry: P4/mmm, No. 123


Record 19
Here is crystalline CuGe3B at its relaxed geometry from the Alexandria database. Energies are from PBE.

Lattice parameters (Å, degrees): 4.358 4.358 4.358 90.00 90.00 90.00
Positions (direct):
Cu 0.000 0.000 0.000
Ge 0.000 0.500 0.500
Ge 0.500 0.000 0.500
Ge 0.500 0.500 0.000
B 0.500 0.500 0.500

## Properties
Crystal system: cubic
Symmetry: Pm-3m, No. 221
Formation energy from the elements, eV/atom: 0.762
Offset from the most stable computed form, meV per atom: 0.0


Record 20
Here is crystalline NdIn3Ni3 at its relaxed geometry from the Alexandria database. Energies are from PBE.

Lattice parameters (Å, degrees): 6.923 6.923 6.923 90.00 90.00 90.00
Positions (direct):
Nd 0.000 0.000 0.000
Nd 0.500 0.500 0.500
In 0.000 0.250 0.500
In 0.000 0.750 0.500
In 0.250 0.500 0.000
In 0.500 0.000 0.250
In 0.500 0.000 0.750
In 0.750 0.500 0.000
Ni 0.000 0.500 0.250
Ni 0.000 0.500 0.750
Ni 0.250 0.000 0.500
Ni 0.500 0.250 0.000
Ni 0.500 0.750 0.000
Ni 0.750 0.000 0.500

## Properties
Crystal system: cubic
Symmetry: Pm-3n, No. 223
Formation energy from the elements, eV/atom: 0.233
Offset from the most stable computed form, meV per atom: 386.0